No. 1
Here is a relaxed Rb3Pm2PtO6 crystal from Alexandria via LeMat-Bulk. Energies are from PBE.

Unit cell a=6.0678 b=6.0678 c=6.9710 alpha=100.15 beta=100.15 gamma=117.23
Atoms (fractional coordinates):
Rb: 0.0000 0.0000 0.0000
Rb: 0.3364 0.6636 0.0000
Rb: 0.6636 0.3364 0.0000
Pm: 0.1647 0.8353 0.5000
Pm: 0.8353 0.1647 0.5000
Pt: 0.5000 0.5000 0.5000
O: 0.1328 0.4366 0.3347
O: 0.2029 0.2029 0.7121
O: 0.4366 0.1328 0.3347
O: 0.5634 0.8672 0.6653
O: 0.7971 0.7971 0.2879
O: 0.8672 0.5634 0.6653

Results
For the calculated density, the calculation gives 6.48 Mg/m³. The value obtained for the raw formation energy is -1.8930 eV per atom.

***

No. 2
Here is a relaxed Rb3Pm3PtO8 crystal from Alexandria via LeMat-Bulk. Energies are from PBE.

Unit cell a=7.7522 b=7.7522 c=7.7522 alpha=53.96 beta=53.96 gamma=53.96
Atoms (fractional coordinates):
Rb: 0.0000 0.5000 0.5000
Rb: 0.5000 0.0000 0.5000
Rb: 0.5000 0.5000 0.0000
Pm: 0.0000 0.0000 0.5000
Pm: 0.0000 0.5000 0.0000
Pm: 0.5000 0.0000 0.0000
Pt: 0.5000 0.5000 0.5000
O: 0.2257 0.2257 0.2257
O: 0.2539 0.7066 0.7066
O: 0.2934 0.2934 0.7461
O: 0.2934 0.7461 0.2934
O: 0.7066 0.2539 0.7066
O: 0.7066 0.7066 0.2539
O: 0.7461 0.2934 0.2934
O: 0.7743 0.7743 0.7743

Results
For the calculated density, the calculation gives 5.95 Mg/m³. The value obtained for the raw formation energy is -2.1674 eV per atom.

***

No. 3
Here is a relaxed Rb2Pm2PtO6 crystal from Alexandria via LeMat-Bulk. Energies are from PBE.

Unit cell a=5.9589 b=5.9589 c=6.9127 alpha=97.37 beta=97.37 gamma=119.46
Atoms (fractional coordinates):
Rb: 0.1609 0.8391 0.0000
Rb: 0.8391 0.1609 0.0000
Pm: 0.3355 0.6645 0.5000
Pm: 0.6645 0.3355 0.5000
Pt: 0.0000 0.0000 0.5000
O: 0.0456 0.3512 0.6655
O: 0.2461 0.2461 0.3300
O: 0.3512 0.0456 0.6655
O: 0.6488 0.9544 0.3345
O: 0.7539 0.7539 0.6700
O: 0.9544 0.6488 0.3345

Results
For the calculated density, the calculation gives 6.04 Mg/m³. The value obtained for the raw formation energy is -2.0118 eV per atom.